Here is a relaxed ScAgTe2 crystal from the Alexandria database. Energies are from GGA-PBE.

## Properties
DOS at the Fermi energy = 0.656 states/eV per cell
E_form (uncorrected) = -699 meV/atom
Symmetry = P4mm (99)

Unit cell a=4.0207 b=4.0207 c=6.5626 alpha=90.00 beta=90.00 gamma=90.00
Fractional coordinates of all 4 atoms:
Sc: 0.0000 0.0000 0.0000
Ag: 0.5000 0.5000 0.6989
Te: 0.0000 0.0000 0.5763
Te: 0.5000 0.5000 0.1297